Record 1
Here is a crystal of LiBH2OF4 relaxed with PBEsol from the Alexandria database. Energies are from SCAN.

It has space group Pnna (No. 52), with a = 10.055 Å, b = 13.252 Å, c = 5.032 Å, α = 90.00°, β = 90.00° and γ = 90.00°. Symmetry generates all atoms from Li at (0.137, 0.250, 0.250), Li at (0.250, 0.000, 0.040), B at (0.125, 0.625, 0.978), H at (0.032, 0.100, 0.049), H at (0.119, 0.146, 0.822), O at (0.122, 0.123, 0.008), F at (0.009, 0.684, 0.998), F at (0.124, 0.574, 0.729), F at (0.126, 0.554, 0.184) and F at (0.239, 0.686, 0.992).

The total DFT energy (no corrections) comes out at -472.964 eV per cell.

***

Record 2
Here is a crystal of Mn2TlIr2 relaxed with PBEsol from the Alexandria database. Energies are from SCAN.

It has space group I4/mmm (No. 139), with a = 3.841 Å, b = 3.841 Å, c = 10.168 Å, α = 90.00°, β = 90.00° and γ = 90.00°. Symmetry generates all atoms from Mn at (0.000, 0.000, 0.099), Tl at (0.000, 0.000, 0.500) and Ir at (0.000, 0.500, 0.250).

For the energy of formation, the calculation gives 1.72 eV per formula unit.

***

Record 3
Here is a crystal of Mo2IrBr relaxed with PBEsol from the Alexandria database. Energies are from SCAN.

It has space group Pmmm (No. 47), with a = 2.810 Å, b = 3.631 Å, c = 6.761 Å, α = 90.00°, β = 90.00° and γ = 90.00°. Symmetry generates all atoms from Mo at (0.000, 0.000, 0.198), Ir at (0.500, 0.500, 0.000) and Br at (0.000, 0.500, 0.500).

For the energy above the most stable polymorph in this dataset, the calculation gives 0 meV per atom. The calculation puts the formation energy (no corrections) at 37 kJ/mol of atoms.

***

Record 4
Here is a crystal of CaCuTe3 relaxed with PBEsol from the Alexandria database. Energies are from SCAN.

It has space group Pm-3m (No. 221), with a = 5.174 Å, b = 5.174 Å, c = 5.174 Å, α = 90.00°, β = 90.00° and γ = 90.00°. Symmetry generates all atoms from Ca at (0.000, 0.000, 0.000), Cu at (0.500, 0.500, 0.500) and Te at (0.000, 0.500, 0.500).

The calculation puts the formation energy (no corrections) at -33 kJ/mol of atoms.

***

Record 5
Here is a crystal of Rb2CrInCu relaxed with PBEsol from the Alexandria database. Energies are from SCAN.

It has space group P4/mmm (No. 123), with a = 6.804 Å, b = 6.804 Å, c = 4.839 Å, α = 90.00°, β = 90.00° and γ = 90.00°. Symmetry generates all atoms from Rb at (0.000, 0.500, 0.000), Cr at (0.000, 0.000, 0.500), In at (0.500, 0.500, 0.000) and Cu at (0.500, 0.500, 0.500).

For the energy of formation, the calculation gives 3.58 eV per formula unit.

***

Record 6
Here is a crystal of Cu5Pt6 relaxed with PBEsol from the Alexandria database. Energies are from SCAN.

It has space group P1 (No. 1), with a = 4.653 Å, b = 5.955 Å, c = 5.968 Å, α = 107.31°, β = 105.02° and γ = 97.45°. Symmetry generates all atoms from Cu at (0.000, 0.000, 0.000), Cu at (0.085, 0.827, 0.356), Cu at (0.180, 0.649, 0.729), Cu at (0.547, 0.915, 0.176), Cu at (0.730, 0.564, 0.911), Pt at (0.274, 0.477, 0.086), Pt at (0.359, 0.275, 0.448), Pt at (0.451, 0.091, 0.819), Pt at (0.638, 0.737, 0.548), Pt at (0.820, 0.375, 0.268) and Pt at (0.909, 0.189, 0.636).

For the energy above the most stable polymorph in this dataset, the calculation gives 0 meV per atom. For the energy of formation, the calculation gives -1.44 eV per formula unit.

***

Record 7
Here is a crystal of Zn2SbOs relaxed with PBEsol from the Alexandria database. Energies are from SCAN.

It has space group P4/mmm (No. 123), with a = 3.911 Å, b = 3.911 Å, c = 4.127 Å, α = 90.00°, β = 90.00° and γ = 90.00°. Symmetry generates all atoms from Zn at (0.000, 0.500, 0.000), Sb at (0.000, 0.000, 0.500) and Os at (0.500, 0.500, 0.500).

The calculation puts the formation energy (no corrections) at 42 kJ/mol of atoms.

***

Record 8
Here is a crystal of CoSi2Au relaxed with PBEsol from the Alexandria database. Energies are from SCAN.

It has space group C2/m (No. 12), with a = 7.613 Å, b = 2.982 Å, c = 4.794 Å, α = 90.00°, β = 99.85° and γ = 90.00°. Symmetry generates all atoms from Co at (0.000, 0.000, 0.000), Si at (0.237, 0.500, 0.204) and Au at (0.000, 0.500, 0.500).

The calculation puts the formation energy (no corrections) at 2 kJ/mol of atoms.

***

Record 9
Here is a crystal of SrNiBr relaxed with PBEsol from the Alexandria database. Energies are from SCAN.

It has space group F-43m (No. 216), with a = 6.772 Å, b = 6.772 Å, c = 6.772 Å, α = 90.00°, β = 90.00° and γ = 90.00°. Symmetry generates all atoms from Sr at (0.000, 0.000, 0.000), Ni at (0.000, 0.000, 0.500) and Br at (0.250, 0.250, 0.750).

The calculation puts the formation energy (no corrections) at -2 kJ/mol of atoms.

***

Record 10
Here is a crystal of Li2HfZnNi relaxed with PBEsol from the Alexandria database. Energies are from SCAN.

It has space group P4/mmm (No. 123), with a = 4.369 Å, b = 4.369 Å, c = 4.657 Å, α = 90.00°, β = 90.00° and γ = 90.00°. Symmetry generates all atoms from Li at (0.000, 0.500, 0.000), Hf at (0.000, 0.000, 0.500), Zn at (0.500, 0.500, 0.500) and Ni at (0.000, 0.000, 0.000).

For the energy of formation, the calculation gives 1.74 eV per formula unit.

***

Record 11
Here is a crystal of TiTeP2Cl relaxed with PBEsol from the Alexandria database. Energies are from SCAN.

It has space group P4/mmm (No. 123), with a = 4.847 Å, b = 4.847 Å, c = 4.459 Å, α = 90.00°, β = 90.00° and γ = 90.00°. Symmetry generates all atoms from Ti at (0.000, 0.000, 0.000), Te at (0.500, 0.500, 0.500), P at (0.000, 0.500, 0.000) and Cl at (0.000, 0.000, 0.500).

For the energy above the most stable polymorph in this dataset, the calculation gives 0 meV per atom. The calculation puts the formation energy (no corrections) at -6 kJ/mol of atoms.

***

Record 12
Here is a crystal of Ni2MoOs relaxed with PBEsol from the Alexandria database. Energies are from SCAN.

It has space group Pm (No. 6), with a = 2.562 Å, b = 4.030 Å, c = 4.969 Å, α = 90.00°, β = 104.61° and γ = 90.00°. Symmetry generates all atoms from Ni at (0.000, 0.000, 0.000), Ni at (0.126, 0.500, 0.253), Mo at (0.393, 0.500, 0.775) and Os at (0.729, 0.000, 0.467).

For the energy above the most stable polymorph in this dataset, the calculation gives 53 meV per atom. For the energy of formation, the calculation gives 0.19 eV per formula unit.

***

Record 13
Here is a crystal of LiCdBr2 relaxed with PBEsol from the Alexandria database. Energies are from SCAN.

It has space group Cm (No. 8), with a = 12.558 Å, b = 4.004 Å, c = 4.186 Å, α = 90.00°, β = 91.83° and γ = 90.00°. Symmetry generates all atoms from Li at (0.000, 0.000, 0.000), Cd at (0.211, 0.500, 0.603), Br at (0.207, 0.000, 0.106) and Br at (0.472, 0.000, 0.612).

For the energy above the most stable polymorph in this dataset, the calculation gives 26 meV per atom. The calculation puts the formation energy (no corrections) at -90 kJ/mol of atoms.

***

Record 14
Here is a crystal of Sr2LiTe relaxed with PBEsol from the Alexandria database. Energies are from SCAN.

It has space group P4mm (No. 99), with a = 4.614 Å, b = 4.614 Å, c = 6.817 Å, α = 90.00°, β = 90.00° and γ = 90.00°. Symmetry generates all atoms from Sr at (0.000, 0.000, 0.000), Sr at (0.500, 0.500, 0.376), Li at (0.500, 0.500, 0.866) and Te at (0.000, 0.000, 0.504).

The calculation puts the formation energy (no corrections) at -68 kJ/mol of atoms.

***

Record 15
Here is a crystal of Cr2Os relaxed with PBEsol from the Alexandria database. Energies are from SCAN.

It has space group C2/m (No. 12), with a = 9.298 Å, b = 2.864 Å, c = 5.744 Å, α = 90.00°, β = 107.78° and γ = 90.00°. Symmetry generates all atoms from Cr at (0.175, 0.000, 0.085), Cr at (0.185, 0.000, 0.592) and Os at (0.001, 0.500, 0.741).

For the energy of formation, the calculation gives 0.07 eV per formula unit.

***

Record 16
Here is a crystal of MnCdCl4 relaxed with PBEsol from the Alexandria database. Energies are from SCAN.

It has space group F-43m (No. 216), with a = 8.137 Å, b = 8.137 Å, c = 8.137 Å, α = 90.00°, β = 90.00° and γ = 90.00°. Symmetry generates all atoms from Mn at (0.000, 0.000, 0.000), Cd at (0.250, 0.250, 0.250) and Cl at (0.125, 0.125, 0.625).

The calculation puts the formation energy (no corrections) at 29 kJ/mol of atoms.

***

Record 17
Here is a crystal of LiMnRu relaxed with PBEsol from the Alexandria database. Energies are from SCAN.

It has space group I4mm (No. 107), with a = 2.842 Å, b = 2.842 Å, c = 8.650 Å, α = 90.00°, β = 90.00° and γ = 90.00°. Symmetry generates all atoms from Li at (0.000, 0.000, 0.000), Mn at (0.000, 0.000, 0.671) and Ru at (0.000, 0.000, 0.318).

For the energy above the most stable polymorph in this dataset, the calculation gives 0 meV per atom. For the energy of formation, the calculation gives 0.77 eV per formula unit.

***

Record 18
Here is a crystal of InHg3 relaxed with PBEsol from the Alexandria database. Energies are from SCAN.

It has space group Cmmm (No. 65), with a = 3.418 Å, b = 5.463 Å, c = 10.267 Å, α = 90.00°, β = 90.00° and γ = 90.00°. Symmetry generates all atoms from In at (0.000, 0.000, 0.000), Hg at (0.000, 0.000, 0.500) and Hg at (0.000, 0.500, 0.254).

For the energy of formation, the calculation gives 0.10 eV per formula unit.

***

Record 19
Here is a crystal of Y2ZrMn2 relaxed with PBEsol from the Alexandria database. Energies are from SCAN.

It has space group I4/mmm (No. 139), with a = 4.174 Å, b = 4.174 Å, c = 11.779 Å, α = 90.00°, β = 90.00° and γ = 90.00°. Symmetry generates all atoms from Y at (0.000, 0.500, 0.250), Zr at (0.000, 0.000, 0.000) and Mn at (0.000, 0.000, 0.415).

For the energy of formation, the calculation gives 2.18 eV per formula unit.

***

Record 20
Here is a crystal of CaCoC relaxed with PBEsol from the Alexandria database. Energies are from SCAN.

It has space group P-1 (No. 2), with a = 3.578 Å, b = 4.957 Å, c = 5.568 Å, α = 70.43°, β = 80.31° and γ = 89.74°. Symmetry generates all atoms from Ca at (0.219, 0.322, 0.312), Co at (0.287, 0.102, 0.860) and C at (0.196, 0.854, 0.207).

For the energy of formation, the calculation gives -0.14 eV per formula unit.

***

| no. | total magnetization (Bohr magnetons per cell) |
| --- | --- |
| 1 | 0.38 |
| 2 | 3.22 |
| 3 | 0.00 |
| 4 | 0.00 |
| 5 | 5.46 |
| 6 | 0.00 |
| 7 | 0.00 |
| 8 | 1.73 |
| 9 | 0.00 |
| 10 | 0.00 |
| 11 | 0.00 |
| 12 | 0.00 |
| 13 | 0.00 |
| 14 | 0.56 |
| 15 | 0.00 |
| 16 | 25.19 |
| 17 | 0.00 |
| 18 | 0.00 |
| 19 | 6.95 |
| 20 | 0.51 |